Entry from Alexandria via LeMat-Bulk: crystalline PrHgO at its relaxed geometry (GGA-PBE).

```
PrHgO
1.0
-3.3233 -0.9032 1.7422
1.7240 -2.9806 1.7433
2.9606 7.1957 5.1029
Pr O Hg
2 2 2
Direct
0.0821 0.0821 0.1643 Pr
0.9179 0.9179 0.8357 Pr
0.0000 0.5000 0.0000 O
0.5000 0.0000 0.0000 O
0.7047 0.7047 0.4094 Hg
0.2953 0.2953 0.5906 Hg
```

Computed properties:
**Crystal system**: tetragonal
**Calculated volume**: 132.5 Å³ per cell
**Energy above the lowest structure with this stoichiometry**: 385.2 meV per atom
**Space group**: I4/mmm, No. 139
**Magnetization**: 0.000 μB per formula unit

Entry from Alexandria via LeMat-Bulk: crystalline CsNdAs2O6 at its relaxed geometry (GGA-PBE).

```
CsNdAs2O6
1.0
7.3374 0.3892 0.2649
-0.5120 7.3299 0.2649
-1.6800 -1.8999 6.4344
Cs Nd As O
2 2 4 12
Direct
0.1998 0.8002 0.2500 Cs
0.8002 0.1998 0.7500 Cs
0.6052 0.3948 0.2500 Nd
0.3948 0.6052 0.7500 Nd
0.2742 0.1280 0.7948 As
0.8720 0.7258 0.7052 As
0.7258 0.8720 0.2052 As
0.1280 0.2742 0.2948 As
0.9227 0.3918 0.2446 O
0.6082 0.0773 0.2554 O
0.0773 0.6082 0.7554 O
0.3918 0.9227 0.7446 O
0.1763 0.1524 0.0435 O
0.8476 0.8237 0.4565 O
0.8237 0.8476 0.9565 O
0.1524 0.1763 0.5435 O
0.3198 0.4482 0.3888 O
0.5518 0.6802 0.1112 O
0.6802 0.5518 0.6112 O
0.4482 0.3198 0.8888 O
```

Computed properties:
**Crystal system**: monoclinic
**Calculated volume**: 354.4 Å³ per cell
**E**: -6.28 eV per atom
**Space group**: C2/c, No. 15
**Magnetization**: 0.000 μB per formula unit

Entry from Alexandria via LeMat-Bulk: crystalline AgBC2 at its relaxed geometry (GGA-PBE).

```
AgBC2
1.0
0.0000 2.7208 2.7208
2.7208 0.0000 2.7208
2.7208 2.7208 0.0000
C B Ag
2 1 1
Direct
0.2500 0.2500 0.2500 C
0.7500 0.7500 0.7500 C
0.0000 0.0000 0.0000 B
0.5000 0.5000 0.5000 Ag
```

Computed properties:
**Crystal system**: cubic
**Calculated volume**: 40.3 Å³ per cell
**Energy above the lowest structure with this stoichiometry**: 1714.5 meV per atom
**Space group**: Fm-3m, No. 225
**Magnetization**: 0.000 μB per formula unit
**Energy of formation**: 2.974 eV per atom

Entry from Alexandria via LeMat-Bulk: crystalline Nd3GaSeCl at its relaxed geometry (GGA-PBE).

```
Nd3GaSeCl
1.0
4.0273 0.0000 0.0000
0.0000 7.5550 -0.3501
0.0000 -2.0495 11.0150
Nd Ga Se Cl
6 2 2 2
Direct
0.7500 0.0594 0.1563 Nd
0.2500 0.9406 0.8437 Nd
0.2500 0.7168 0.5026 Nd
0.7500 0.2832 0.4974 Nd
0.7500 0.5444 0.1697 Nd
0.2500 0.4556 0.8303 Nd
0.2500 0.3537 0.3075 Ga
0.7500 0.6463 0.6925 Ga
0.2500 0.7619 0.0571 Se
0.7500 0.2381 0.9429 Se
0.2500 0.1201 0.6330 Cl
0.7500 0.8799 0.3670 Cl
```

Computed properties:
**Crystal system**: monoclinic
**Calculated volume**: 332.3 Å³ per cell
**E**: -5.08 eV per atom
**Space group**: P2_1/m, No. 11
**Magnetization**: 0.000 μB per formula unit

Entry from Alexandria via LeMat-Bulk: crystalline InMo at its relaxed geometry (GGA-PBE).

```
InMo
1.0
-1.3827 1.4863 4.6301
-4.9811 -0.7648 0.4037
3.6902 -3.1234 -1.4783
In Mo
2 2
Direct
0.0000 0.0000 0.0000 In
0.2500 0.7500 0.5000 In
0.5000 0.5000 0.0000 Mo
0.7500 0.2500 0.5000 Mo
```

Computed properties:
**Crystal system**: tetragonal
**Calculated volume**: 73.1 Å³ per cell
**Energy above the lowest structure with this stoichiometry**: 217.8 meV per atom
**Space group**: I4_1/amd, No. 141
**Magnetization**: 0.000 μB per formula unit
**Energy of formation**: 0.432 eV per atom

Entry from Alexandria via LeMat-Bulk: crystalline Nd2PuGe3Pt4 at its relaxed geometry (GGA-PBE).

```
Nd2PuGe3Pt4
1.0
-2.7158 2.8791 -1.7980
-3.3590 -2.6113 0.8921
-1.2488 4.9688 9.8426
Nd Pu Ge Pt
2 1 3 4
Direct
0.5000 0.0000 0.2239 Nd
0.0000 0.5000 0.7761 Nd
0.5000 0.5000 0.5000 Pu
0.0000 0.0000 0.5000 Ge
0.5000 0.0000 0.8798 Ge
0.0000 0.5000 0.1202 Ge
0.5000 0.5000 0.0000 Pt
0.0000 0.0000 0.0000 Pt
0.5000 0.0000 0.6588 Pt
0.0000 0.5000 0.3412 Pt
```

Computed properties:
**Crystal system**: tetragonal
**Calculated volume**: 209.7 Å³ per cell
**Space group**: P-4m2, No. 115
**Magnetization**: 5.477 μB per formula unit
**Energy of formation**: -0.864 eV per atom

Please write out number 1 again, unchanged.
Entry from Alexandria via LeMat-Bulk: crystalline PrHgO at its relaxed geometry (GGA-PBE).

```
PrHgO
1.0
-3.3233 -0.9032 1.7422
1.7240 -2.9806 1.7433
2.9606 7.1957 5.1029
Pr O Hg
2 2 2
Direct
0.0821 0.0821 0.1643 Pr
0.9179 0.9179 0.8357 Pr
0.0000 0.5000 0.0000 O
0.5000 0.0000 0.0000 O
0.7047 0.7047 0.4094 Hg
0.2953 0.2953 0.5906 Hg
```

Computed properties:
**Crystal system**: tetragonal
**Calculated volume**: 132.5 Å³ per cell
**Energy above the lowest structure with this stoichiometry**: 385.2 meV per atom
**Space group**: I4/mmm, No. 139
**Magnetization**: 0.000 μB per formula unit